# ZnCuRu SCAN single point on PBEsol structure
data_ZnCuRu
_symmetry_space_group_name_H-M 'F -4 3 m'
_symmetry_Int_Tables_number 216
_symmetry_space_group_name_Hall 'F -4 2 3'
_cell_length_a 5.718
_cell_length_b 5.718
_cell_length_c 5.718
_cell_angle_alpha 90.00
_cell_angle_beta 90.00
_cell_angle_gamma 90.00
loop_
_atom_site_label
_atom_site_type_symbol
_atom_site_fract_x
_atom_site_fract_y
_atom_site_fract_z
Zn1 Zn 0.000 0.000 0.000
Cu1 Cu 0.000 0.000 0.500
Ru1 Ru 0.250 0.250 0.250
# Polymorph energy (0 for the lowest one) = 0.529 eV per atom
# DFT formation energy = 2.063 eV/f.u.